Sr2TlH: optimized geometry, PBE. Values from VASP.

```
&SYSTEM
  ibrav = 0, nat = 4, ntyp = 3
/
ATOMIC_SPECIES
Sr 87.62 Sr.upf
Tl 204.38 Tl.upf
H 1.01 H.upf
CELL_PARAMETERS angstrom
4.212 0.000 0.000
0.000 3.704 0.000
-0.048 0.000 7.863
ATOMIC_POSITIONS crystal
Sr 0.003 0.000 0.262
Sr 0.997 0.000 0.738
Tl 0.500 0.500 0.000
H 0.000 0.500 0.500
```

## Properties
Relative energy among the computed polymorphs   114 meV/atom